Below is La6TlIn2 after structural relaxation, with properties calculated at the PBE level.

abc: 8.153 8.153 8.153
angles: 146.67 98.73 90.72
Fractional positions:
La (0.014, 0.168, 0.845)
La (0.323, 0.168, 0.155)
La (0.344, 0.500, 0.844)
La (0.656, 0.500, 0.156)
La (0.677, 0.832, 0.845)
La (0.986, 0.832, 0.155)
Tl (0.000, 0.500, 0.500)
In (0.336, 0.836, 0.500)
In (0.664, 0.164, 0.500)

## Properties
The value obtained for the total energy is -4.4864 eV per atom. As for the formation energy: -7.61 kcal/mol of atoms. The calculated density is 7.4 g cm⁻³. The total magnetic moment comes out at 0.00 μB/atom. The value obtained for the energy relative to the lowest polymorph listed for this composition is 0.0 kJ/mol of atoms.

=====

Below is La2TlIn after structural relaxation, with properties calculated at the PBE level.

abc: 5.467 5.467 6.936
angles: 101.84 101.84 42.23
Fractional positions:
La (0.249, 0.249, 0.246)
La (0.751, 0.751, 0.754)
Tl (0.000, 0.000, 0.500)
In (0.500, 0.500, 0.000)

## Properties
The value obtained for the total energy is -4.0252 eV per atom. As for the formation energy: -6.58 kcal/mol of atoms. The calculated density is 7.3 g cm⁻³. The total magnetic moment comes out at 0.00 μB/atom.

=====

Below is LaTlIn3 after structural relaxation, with properties calculated at the PBE level.

abc: 5.600 5.600 5.600
angles: 90.00 90.00 90.00
Fractional positions:
La (0.000, 0.000, 0.000)
Tl (0.500, 0.500, 0.500)
In (0.000, 0.500, 0.500)
In (0.500, 0.000, 0.500)
In (0.500, 0.500, 0.000)

## Properties
The value obtained for the total energy is -2.8141 eV per atom. As for the formation energy: 6.64 kcal/mol of atoms. The calculated density is 6.5 g cm⁻³. The total magnetic moment comes out at 0.00 μB/atom. The value obtained for the energy relative to the lowest polymorph listed for this composition is 50.6 kJ/mol of atoms.

=====

Copy entry 2 word for word.
Below is La2TlIn after structural relaxation, with properties calculated at the PBE level.

abc: 5.467 5.467 6.936
angles: 101.84 101.84 42.23
Fractional positions:
La (0.249, 0.249, 0.246)
La (0.751, 0.751, 0.754)
Tl (0.000, 0.000, 0.500)
In (0.500, 0.500, 0.000)

## Properties
The value obtained for the total energy is -4.0252 eV per atom. As for the formation energy: -6.58 kcal/mol of atoms. The calculated density is 7.3 g cm⁻³. The total magnetic moment comes out at 0.00 μB/atom.

=====

Question: Among the records above, which one has the highest formation energy?
Answer: LaTlIn3

=====

Question: Which of these has the highest calculated density?
Answer: La6TlIn2

=====

Question: What is the total magnetic moment in the third record?
Answer: 0.00 μB/atom